VASP calculation (PBE) on crystalline TmHf2Sn at its relaxed geometry.

Lattice parameters (Å, degrees): 4.564 4.498 4.498 90.00 90.00 90.00
Fractional coordinates of all 4 atoms:
Tm: 0.500 0.000 0.000
Hf: 0.000 0.000 0.500
Hf: 0.000 0.500 0.000
Sn: 0.500 0.500 0.500

Excess energy over the best structure of this formula in the dataset   213.3 meV/atom
Space-group type   P4/mmm

---

VASP calculation (PBE) on crystalline ZnCoAs3 at its relaxed geometry.

Lattice parameters (Å, degrees): 4.731 4.731 4.731 90.00 90.00 90.00
Fractional coordinates of all 5 atoms:
As: 0.000 0.500 0.000
As: 0.000 0.000 0.500
As: 0.500 0.000 0.000
Co: 0.500 0.500 0.500
Zn: 0.000 0.000 0.000

Excess energy over the best structure of this formula in the dataset   760.8 meV/atom
Space-group type   Pm-3m

---

VASP calculation (PBE) on crystalline In2GaSe at its relaxed geometry.

Lattice parameters (Å, degrees): 3.929 3.929 8.019 75.82 75.82 60.00
Fractional coordinates of all 4 atoms:
In: 0.080 0.080 0.759
In: 0.252 0.252 0.244
Ga: 0.499 0.499 0.503
Se: 0.669 0.669 0.994

Uncorrected formation energy   -149 meV/atom
Excess energy over the best structure of this formula in the dataset   0.0 meV/atom
Space-group type   R3m

---

VASP calculation (PBE) on crystalline Th4InRh15 at its relaxed geometry.

Lattice parameters (Å, degrees): 4.106 4.106 20.463 90.00 90.00 90.00
Fractional coordinates of all 20 atoms:
Th: 0.000 0.000 0.195
Th: 0.000 0.000 0.398
Th: 0.000 0.000 0.602
Th: 0.000 0.000 0.805
In: 0.000 0.000 0.000
Rh: 0.500 0.500 0.000
Rh: 0.500 0.500 0.194
Rh: 0.500 0.500 0.398
Rh: 0.500 0.500 0.602
Rh: 0.500 0.500 0.806
Rh: 0.500 0.000 0.093
Rh: 0.500 0.000 0.296
Rh: 0.500 0.000 0.500
Rh: 0.500 0.000 0.704
Rh: 0.500 0.000 0.907
Rh: 0.000 0.500 0.093
Rh: 0.000 0.500 0.296
Rh: 0.000 0.500 0.500
Rh: 0.000 0.500 0.704
Rh: 0.000 0.500 0.907

Space-group type   P4/mmm

---

Number 1: electronic total energy -29.25 eV/cell. Number 2: electronic total energy -16.31 eV/cell. Number 3: electronic total energy -12.58 eV/cell. Number 4: electronic total energy -154.51 eV/cell.